The following is a DFT calculation (PBE-GGA) of a relaxed structure of Rb2NaLaI6.

Values from the calculation:
uncorrected formation energy: -1.47 eV/atom
spin magnetization: 0.00 μB/f.u.
calculated density: 3.86 g cm⁻³

```
data_Rb2NaLaI6
_symmetry_space_group_name_H-M 'P 1'
_symmetry_Int_Tables_number 1
_cell_length_a 8.527
_cell_length_b 9.029
_cell_length_c 14.760
_cell_angle_alpha 90.00
_cell_angle_beta 124.08
_cell_angle_gamma 90.00
loop_
_symmetry_equiv_pos_as_xyz
'x,y,z'
loop_
_atom_site_label
_atom_site_type_symbol
_atom_site_fract_x
_atom_site_fract_y
_atom_site_fract_z
Rb1 Rb 0.216 0.081 0.246
Rb2 Rb 0.216 0.419 0.746
Rb3 Rb 0.784 0.581 0.254
Rb4 Rb 0.784 0.919 0.754
Na1 Na 0.000 0.000 0.500
Na2 Na 0.000 0.500 0.000
La1 La 0.500 0.000 0.000
La2 La 0.500 0.500 0.500
I1 I 0.147 0.193 0.949
I2 I 0.147 0.307 0.449
I3 I 0.260 0.704 0.948
I4 I 0.260 0.796 0.448
I5 I 0.356 0.024 0.750
I6 I 0.356 0.476 0.250
I7 I 0.644 0.524 0.750
I8 I 0.644 0.976 0.250
I9 I 0.740 0.204 0.552
I10 I 0.740 0.296 0.052
I11 I 0.853 0.693 0.551
I12 I 0.853 0.807 0.051
```